1.
## K5LaO4 (PBE-GGA)

Data for K5LaO4 after structural relaxation.

Lattice parameters (Å, degrees): 8.530 8.530 7.423 107.24 107.24 26.32
Fractional positions:
K: 0.000 0.000 0.000
K: 0.331 0.331 0.606
K: 0.340 0.340 0.154
K: 0.660 0.660 0.846
K: 0.669 0.669 0.394
La: 0.000 0.000 0.500
O: 0.157 0.157 0.624
O: 0.497 0.497 0.719
O: 0.503 0.503 0.281
O: 0.843 0.843 0.376

Output
magnetization: 0.02 μB per atom
ρ: 2.90 g/cm³
volume: 22.809 Å³/atom
space group: C2/m (12)
uncorrected formation energy: -1.625 eV per atom

---

2.
## BaSr6Cd (PBE-GGA)

Data for BaSr6Cd after structural relaxation.

Lattice parameters (Å, degrees): 4.458 9.530 9.530 90.07 90.00 90.00
Fractional positions:
Ba: 0.000 0.000 0.000
Sr: 0.000 0.569 0.569
Sr: 0.000 0.569 0.996
Sr: 0.000 0.996 0.569
Sr: 0.500 0.287 0.777
Sr: 0.500 0.290 0.290
Sr: 0.500 0.777 0.287
Cd: 0.500 0.779 0.779

Output
magnetization: 0.00 μB per atom
ρ: 3.18 g/cm³
volume: 50.606 Å³/atom
space group: Amm2 (38)
energy of formation from the pure elements: -0.04 eV per atom
DOS(E_F): 1.347 states/eV/atom

---

3.
## La5Rh (PBE-GGA)

Data for La5Rh after structural relaxation.

Lattice parameters (Å, degrees): 6.132 6.132 6.073 90.00 90.00 120.00
Fractional positions:
La: 0.000 0.500 0.000
La: 0.333 0.667 0.500
La: 0.500 0.000 0.000
La: 0.500 0.500 0.000
La: 0.667 0.333 0.500
Rh: 0.000 0.000 0.500

Output
magnetization: 0.00 μB per atom
ρ: 6.70 g/cm³
volume: 32.957 Å³/atom
E above lowest polymorph: 0.867 eV/atom
space group: P6/mmm (191)
energy of formation from the pure elements: 0.63 eV per atom
DOS(E_F): 2.132 states/eV/atom

---

4.
## LaCd2Bi2 (PBE-GGA)

Data for LaCd2Bi2 after structural relaxation.

Lattice parameters (Å, degrees): 6.417 6.417 6.417 129.07 129.07 74.89
Fractional positions:
La: 0.000 0.000 0.000
Cd: 0.368 0.368 0.000
Cd: 0.632 0.632 0.000
Bi: 0.250 0.750 0.500
Bi: 0.750 0.250 0.500

Output
magnetization: 0.00 μB per atom
ρ: 8.37 g/cm³
volume: 31.024 Å³/atom
E above lowest polymorph: 0.195 eV/atom
space group: I4/mmm (139)
energy of formation from the pure elements: -0.24 eV per atom
DOS(E_F): 0.551 states/eV/atom